Entry from Alexandria: ZrTcHg2 at its PBEsol-relaxed geometry (SCAN).

Computed properties:
- SG = I-4m2
- crystal system = tetragonal
- formation energy (eV per atom) = 0.07
- Fermi-level density of states (states/eV/cell) = 3.0
- energy above the lowest structure with this stoichiometry (meV per atom) = 0

Lattice parameters (Å, degrees): 4.1496 4.1496 5.1549 113.73 113.73 90.00
Closest atoms and distances in Å follow each position.
Atoms (fractional coordinates):
1 Hg 0.0000 0.0000 0.0000  4 Tc 2.93, 4 Zr 2.97, 4 Hg 2.97
2 Hg 0.7500 0.2500 0.5000  4 Zr 2.93, 4 Hg 2.97, 4 Tc 2.97
3 Tc 0.5000 0.5000 0.0000  8 Hg 2.93-2.97, 4 Zr 2.97
4 Zr 0.2500 0.7500 0.5000  8 Hg 2.93-2.97, 4 Tc 2.97

---

Entry from Alexandria: K2BaCa at its PBEsol-relaxed geometry (SCAN).

Computed properties:
- SG = Cmm2
- crystal system = orthorhombic
- formation energy (eV per atom) = 0.09
- Fermi-level density of states (states/eV/cell) = 4.0
- energy above the lowest structure with this stoichiometry (meV per atom) = 0

Lattice parameters (Å, degrees): 4.1174 4.1174 14.3484 90.00 90.00 110.79
Closest atoms and distances in Å follow each position.
Atoms (fractional coordinates):
1 K 0.0000 0.0000 0.0177  6 K 4.12-4.58, 2 Ca 4.18
2 K 0.5000 0.5000 0.7430  6 K 4.12-4.58, 2 Ba 4.44
3 Ca 0.5000 0.5000 0.2592  2 Ba 3.94, 4 Ca 4.12, 2 K 4.18
4 Ba 0.0000 0.0000 0.4802  2 Ca 3.94, 4 Ba 4.12

---

Entry from Alexandria: SiTeIr at its PBEsol-relaxed geometry (SCAN).

Computed properties:
- SG = Imm2
- crystal system = orthorhombic
- E_form (uncorrected) (eV per formula unit) = -0.64
- Fermi-level density of states (states/eV/cell) = 1.2

Lattice parameters (Å, degrees): 2.9962 3.0820 6.7812 103.14 102.76 90.00
Closest atoms and distances in Å follow each position.
Atoms (fractional coordinates):
1 Si 0.5423 0.5423 0.0845  4 Ir 2.38, 1 Te 2.65
2 Ir 0.1215 0.1215 0.2431  4 Si 2.38
3 Te 0.3362 0.3362 0.6724  1 Si 2.65, 1 Ir 2.76

---

Entry from Alexandria: Ca2CoGe2 at its PBEsol-relaxed geometry (SCAN).

Computed properties:
- SG = I4/mmm
- crystal system = tetragonal
- formation energy (eV per atom) = 0.36
- Fermi-level density of states (states/eV/cell) = 2.2

Lattice parameters (Å, degrees): 4.4065 4.4065 6.7414 109.08 109.08 90.00
Closest atoms and distances in Å follow each position.
Atoms (fractional coordinates):
1 Ge 0.4064 0.4064 0.8127  1 Ge 2.24
2 Ge 0.5936 0.5936 0.1873  1 Ge 2.24
3 Co 0.0000 0.0000 0.0000  8 Ge 3.31
4 Ca 0.2500 0.7500 0.5000  4 Ge 2.89, 4 Ca 3.12
5 Ca 0.7500 0.2500 0.5000  4 Ge 2.89, 4 Ca 3.12

---

Entry from Alexandria: TaAs2HSe at its PBEsol-relaxed geometry (SCAN).

Computed properties:
- SG = P4/mmm
- crystal system = tetragonal
- Fermi-level density of states (states/eV/cell) = 2.8
- calculated total energy (eV per atom) = -25.496

Lattice parameters (Å, degrees): 3.8592 3.8592 5.0195 90.00 90.00 90.00
Closest atoms and distances in Å follow each position.
Atoms (fractional coordinates):
1 H 0.0000 0.0000 0.0000  4 As 1.93
2 As 0.0000 0.5000 0.0000  2 H 1.93
3 As 0.5000 0.0000 0.0000  2 H 1.93
4 Se 0.0000 0.0000 0.5000  2 H 2.51, 4 Ta 2.73
5 Ta 0.5000 0.5000 0.5000  4 Se 2.73

---

Entry from Alexandria: Al2AuCl at its PBEsol-relaxed geometry (SCAN).

Computed properties:
- SG = Immm
- crystal system = orthorhombic
- E_form (uncorrected) (eV per formula unit) = -0.63
- Fermi-level density of states (states/eV/cell) = 1.8
- energy above the lowest structure with this stoichiometry (meV per atom) = 109

Lattice parameters (Å, degrees): 3.2638 5.1731 5.1731 66.70 71.61 71.61
Closest atoms and distances in Å follow each position.
Atoms (fractional coordinates):
1 Au 0.5000 0.0000 0.0000  4 Al 2.58
2 Al 0.2495 0.7505 0.7505  2 Au 2.58, 2 Cl 2.58
3 Al 0.7505 0.2495 0.2495  2 Au 2.58, 2 Cl 2.58
4 Cl 0.0000 0.5000 0.5000  4 Al 2.58

---

Entry from Alexandria: RbPO3 at its PBEsol-relaxed geometry (SCAN).

Computed properties:
- SG = Cmcm
- crystal system = orthorhombic
- E_form (uncorrected) (eV per formula unit) = -12.20
- Fermi-level density of states (states/eV/cell) = 0.0

Lattice parameters (Å, degrees): 4.8193 5.9498 7.1946 114.42 90.00 90.00
Closest atoms and distances in Å follow each position.
Atoms (fractional coordinates):
1 P 0.2500 0.9208 0.8416  4 O 1.50-1.59
2 P 0.7500 0.0792 0.1584  4 O 1.50-1.59
3 O 0.7500 0.9206 0.2748  1 P 1.50
4 O 0.7500 0.3542 0.2748  1 P 1.50
5 O 0.2500 0.0794 0.7252  1 P 1.50
6 O 0.2500 0.6458 0.7252  1 P 1.50
7 O 0.0000 0.0000 0.0000  2 P 1.59
8 O 0.5000 0.0000 0.0000  2 P 1.59
9 Rb 0.2500 0.6582 0.3163  6 O 2.95-2.97
10 Rb 0.7500 0.3418 0.6837  6 O 2.95-2.97

---

Entry from Alexandria: CaAg2Pb at its PBEsol-relaxed geometry (SCAN).

Computed properties:
- SG = R3m
- crystal system = trigonal
- formation energy (eV per atom) = -0.02
- Fermi-level density of states (states/eV/cell) = 1.5

Lattice parameters (Å, degrees): 3.7953 3.7953 8.3660 76.89 76.89 60.00
Closest atoms and distances in Å follow each position.
Atoms (fractional coordinates):
1 Pb 0.2635 0.2635 0.2094  3 Ag 2.88
2 Ca 0.4897 0.4897 0.5310  3 Ag 2.98
3 Ag 0.0074 0.0074 0.9777  3 Ag 2.70, 3 Pb 2.88
4 Ag 0.7394 0.7394 0.7819  3 Ag 2.70, 3 Ca 2.98

---

Entry from Alexandria: Sr2Hg at its PBEsol-relaxed geometry (SCAN).

Computed properties:
- SG = P-62m
- crystal system = hexagonal
- formation energy (eV per atom) = -0.49
- Fermi-level density of states (states/eV/cell) = 8.9

Lattice parameters (Å, degrees): 4.9469 8.7874 8.7874 120.00 90.00 90.00
Closest atoms and distances in Å follow each position.
Atoms (fractional coordinates):
1 Hg 0.0000 0.6667 0.3333  9 Sr 3.32-3.64
2 Hg 0.0000 0.3333 0.6667  9 Sr 3.32-3.64
3 Hg 0.5000 0.0000 0.0000  9 Sr 3.35-3.57
4 Sr 0.0000 0.7430 0.7430  4 Hg 3.32-3.35
5 Sr 0.0000 0.0000 0.2570  4 Hg 3.32-3.35
6 Sr 0.0000 0.2570 0.0000  4 Hg 3.32-3.35
7 Sr 0.5000 0.4065 0.4065  5 Hg 3.57-3.64, 6 Sr 3.85-3.99
8 Sr 0.5000 0.0000 0.5935  5 Hg 3.57-3.64, 6 Sr 3.85-3.99
9 Sr 0.5000 0.5935 0.0000  5 Hg 3.57-3.64, 6 Sr 3.85-3.99

---

Entry from Alexandria: LiICl2 at its PBEsol-relaxed geometry (SCAN).

Computed properties:
- SG = R-3m
- crystal system = trigonal
- E_form (uncorrected) (eV per formula unit) = -4.12

Lattice parameters (Å, degrees): 4.0141 4.0141 7.9095 75.30 75.30 60.00
Closest atoms and distances in Å follow each position.
Atoms (fractional coordinates):
1 I 0.0000 0.0000 0.0000  2 Cl 2.56
2 Cl 0.8873 0.8873 0.3380  1 I 2.56, 3 Li 2.62
3 Cl 0.1127 0.1127 0.6620  1 I 2.56, 3 Li 2.62
4 Li 0.5000 0.5000 0.5000  6 Cl 2.62

---

Entry from Alexandria: LiBH5N at its PBEsol-relaxed geometry (SCAN).

Computed properties:
- SG = Pbca
- crystal system = orthorhombic
- Fermi-level density of states (states/eV/cell) = 0.0
- calculated total energy (eV per atom) = -5.010

Lattice parameters (Å, degrees): 5.0674 6.8272 13.3765 90.00 90.00 90.00
Closest atoms and distances in Å follow each position.
Atoms (fractional coordinates):
1 Li 0.0715 0.4428 0.1745  5 H 1.96-2.13, 1 N 2.01
2 Li 0.9285 0.9428 0.3255  5 H 1.96-2.13, 1 N 2.01
3 Li 0.4285 0.5572 0.6745  5 H 1.96-2.13, 1 N 2.01
4 Li 0.5715 0.0572 0.8255  5 H 1.96-2.13, 1 N 2.01
5 Li 0.9285 0.5572 0.8255  5 H 1.96-2.13, 1 N 2.01
6 Li 0.0715 0.0572 0.6745  5 H 1.96-2.13, 1 N 2.01
7 Li 0.5715 0.4428 0.3255  5 H 1.96-2.13, 1 N 2.01
8 Li 0.4285 0.9428 0.1745  5 H 1.96-2.13, 1 N 2.01
9 B 0.5418 0.5908 0.1501  3 H 1.24-1.25
10 B 0.4582 0.0908 0.3499  3 H 1.24-1.25
11 B 0.9582 0.4092 0.6501  3 H 1.24-1.25
12 B 0.0418 0.9092 0.8499  3 H 1.24-1.25
13 B 0.4582 0.4092 0.8499  3 H 1.24-1.25
14 B 0.5418 0.9092 0.6501  3 H 1.24-1.25
15 B 0.0418 0.5908 0.3499  3 H 1.24-1.25
16 B 0.9582 0.0908 0.1501  3 H 1.24-1.25
17 H 0.3521 0.6754 0.1080  1 B 1.25
18 H 0.6479 0.1754 0.3920  1 B 1.25
19 H 0.1479 0.3246 0.6080  1 B 1.25
20 H 0.8521 0.8246 0.8920  1 B 1.25
21 H 0.6479 0.3246 0.8920  1 B 1.25
22 H 0.3521 0.8246 0.6080  1 B 1.25
23 H 0.8521 0.6754 0.3920  1 B 1.25
24 H 0.1479 0.1754 0.1080  1 B 1.25
25 H 0.5947 0.6858 0.2266  1 B 1.24
26 H 0.4053 0.1858 0.2734  1 B 1.24
27 H 0.9053 0.3142 0.7266  1 B 1.24
28 H 0.0947 0.8142 0.7734  1 B 1.24
29 H 0.4053 0.3142 0.7734  1 B 1.24
30 H 0.5947 0.8142 0.7266  1 B 1.24
31 H 0.0947 0.6858 0.2734  1 B 1.24
32 H 0.9053 0.1858 0.2266  1 B 1.24
33 H 0.4579 0.4282 0.1781  1 B 1.25
34 H 0.5421 0.9282 0.3219  1 B 1.25
35 H 0.0421 0.5718 0.6781  1 B 1.25
36 H 0.9579 0.0718 0.8219  1 B 1.25
37 H 0.5421 0.5718 0.8219  1 B 1.25
38 H 0.4579 0.0718 0.6781  1 B 1.25
39 H 0.9579 0.4282 0.3219  1 B 1.25
40 H 0.0421 0.9282 0.1781  1 B 1.25
41 H 0.8697 0.6945 0.0660  1 N 1.03
42 H 0.1303 0.1945 0.4340  1 N 1.03
43 H 0.6303 0.3055 0.5660  1 N 1.03
44 H 0.3697 0.8055 0.9340  1 N 1.03
45 H 0.1303 0.3055 0.9340  1 N 1.03
46 H 0.8697 0.8055 0.5660  1 N 1.03
47 H 0.3697 0.6945 0.4340  1 N 1.03
48 H 0.6303 0.1945 0.0660  1 N 1.03
49 H 0.7564 0.4889 0.0213  1 N 1.03
50 H 0.2436 0.9889 0.4787  1 N 1.03
51 H 0.7436 0.5111 0.5213  1 N 1.03
52 H 0.2564 0.0111 0.9787  1 N 1.03
53 H 0.2436 0.5111 0.9787  1 N 1.03
54 H 0.7564 0.0111 0.5213  1 N 1.03
55 H 0.2564 0.4889 0.4787  1 N 1.03
56 H 0.7436 0.9889 0.0213  1 N 1.03
57 N 0.7917 0.5620 0.0871  2 H 1.03
58 N 0.2083 0.0620 0.4129  2 H 1.03
59 N 0.7083 0.4380 0.5871  2 H 1.03
60 N 0.2917 0.9380 0.9129  2 H 1.03
61 N 0.2083 0.4380 0.9129  2 H 1.03
62 N 0.7917 0.9380 0.5871  2 H 1.03
63 N 0.2917 0.5620 0.4129  2 H 1.03
64 N 0.7083 0.0620 0.0871  2 H 1.03

---

Entry from Alexandria: CdAg2Au at its PBEsol-relaxed geometry (SCAN).

Computed properties:
- SG = Pmm2
- crystal system = orthorhombic
- formation energy (eV per atom) = -0.11
- Fermi-level density of states (states/eV/cell) = 1.0

Lattice parameters (Å, degrees): 2.9690 4.0180 5.7985 90.00 90.00 90.00
Closest atoms and distances in Å follow each position.
Atoms (fractional coordinates):
1 Au 0.0000 0.0000 0.4975  6 Ag 2.85-2.94, 4 Cd 2.89, 2 Au 2.97
2 Ag 0.0000 0.0000 0.0053  2 Au 2.85-2.94, 6 Ag 2.87-2.97, 4 Cd 2.91
3 Ag 0.5000 0.5000 0.2477  6 Ag 2.87-2.97, 4 Au 2.89, 2 Cd 2.89-2.91
4 Cd 0.5000 0.5000 0.7495  6 Ag 2.89-2.91, 4 Au 2.89, 2 Cd 2.97